# GGA-PBE TiGa7Pd4, relaxed
data_TiGa7Pd4
_chemical_formula_sum 'Ti2 Ga14 Pd8'
_cell_length_a 11.6447
_cell_length_b 4.7235
_cell_length_c 9.2945
_cell_angle_alpha 90.00
_cell_angle_beta 126.75
_cell_angle_gamma 90.00
_space_group_name_H-M_alt 'C 1 2/m 1'
_space_group_IT_number 12
_space_group_name_Hall '-C 2y'
loop_
_atom_site_label
_atom_site_type_symbol
_atom_site_fract_x
_atom_site_fract_y
_atom_site_fract_z
_atom_site_occupancy
Ti1 Ti 0.0000 0.0000 0.0000 1
Ga1 Ga 0.0000 0.5000 0.0000 1
Ga2 Ga 0.0836 0.0000 0.3400 1
Ga3 Ga 0.1440 0.5000 0.5782 1
Ga4 Ga 0.2044 0.0000 0.8722 1
Pd1 Pd 0.0771 0.5000 0.7927 1
Pd2 Pd 0.2173 0.5000 0.3303 1
# **Density of states at the Fermi level**: 5.33 states/eV/f.u.
# **ΔH_f (0 K)**: -319 kJ/mol of formula units


# GGA-PBE PmDy2Au2, relaxed
data_PmDy2Au2
_chemical_formula_sum 'Pm2 Dy4 Au4'
_cell_length_a 8.2458
_cell_length_b 8.2458
_cell_length_c 3.8074
_cell_angle_alpha 90.00
_cell_angle_beta 90.00
_cell_angle_gamma 90.00
_space_group_name_H-M_alt 'P 4/m b m'
_space_group_IT_number 127
_space_group_name_Hall '-P 4 2ab'
loop_
_atom_site_label
_atom_site_type_symbol
_atom_site_fract_x
_atom_site_fract_y
_atom_site_fract_z
_atom_site_occupancy
Pm1 Pm 0.0000 0.0000 0.0000 1
Dy1 Dy 0.1620 0.3380 0.5000 1
Au1 Au 0.1308 0.6308 0.0000 1
# **Density of states at the Fermi level**: 5.48 states/eV/f.u.
# **ΔH_f (0 K)**: -331 kJ/mol of formula units


# GGA-PBE Pm5Cd4In, relaxed
data_Pm5Cd4In
_chemical_formula_sum 'Pm5 Cd4 In1'
_cell_length_a 3.8081
_cell_length_b 3.8081
_cell_length_c 19.4797
_cell_angle_alpha 90.00
_cell_angle_beta 90.00
_cell_angle_gamma 90.00
_space_group_name_H-M_alt 'P 4/m m m'
_space_group_IT_number 123
_space_group_name_Hall '-P 4 2'
loop_
_atom_site_label
_atom_site_type_symbol
_atom_site_fract_x
_atom_site_fract_y
_atom_site_fract_z
_atom_site_occupancy
Pm1 Pm 0.0000 0.0000 0.0000 1
Pm2 Pm 0.0000 0.0000 0.1991 1
Pm3 Pm 0.0000 0.0000 0.3982 1
Cd1 Cd 0.5000 0.5000 0.1000 1
Cd2 Cd 0.5000 0.5000 0.2978 1
In1 In 0.5000 0.5000 0.5000 1
# **Density of states at the Fermi level**: 12.49 states/eV/f.u.
# **ΔH_f (0 K)**: -340 kJ/mol of formula units


# GGA-PBE BiSb2TeRu, relaxed
data_BiSb2TeRu
_chemical_formula_sum 'Bi1 Sb2 Te1 Ru1'
_cell_length_a 5.0280
_cell_length_b 5.0280
_cell_length_c 5.6698
_cell_angle_alpha 90.00
_cell_angle_beta 90.00
_cell_angle_gamma 90.00
_space_group_name_H-M_alt 'P 4/m m m'
_space_group_IT_number 123
_space_group_name_Hall '-P 4 2'
loop_
_atom_site_label
_atom_site_type_symbol
_atom_site_fract_x
_atom_site_fract_y
_atom_site_fract_z
_atom_site_occupancy
Bi1 Bi 0.0000 0.0000 0.0000 1
Sb1 Sb 0.0000 0.5000 0.5000 1
Te1 Te 0.5000 0.5000 0.0000 1
Ru1 Ru 0.5000 0.5000 0.5000 1
# **Density of states at the Fermi level**: 4.22 states/eV/f.u.
# **Raw formation energy**: 0.34 eV/atom


# GGA-PBE NiGe3Mo, relaxed
data_NiGe3Mo
_chemical_formula_sum 'Ni1 Ge3 Mo1'
_cell_length_a 4.5595
_cell_length_b 4.5595
_cell_length_c 4.5595
_cell_angle_alpha 90.00
_cell_angle_beta 90.00
_cell_angle_gamma 90.00
_space_group_name_H-M_alt 'P m -3 m'
_space_group_IT_number 221
_space_group_name_Hall '-P 4 2 3'
loop_
_atom_site_label
_atom_site_type_symbol
_atom_site_fract_x
_atom_site_fract_y
_atom_site_fract_z
_atom_site_occupancy
Ni1 Ni 0.0000 0.0000 0.0000 1
Ge1 Ge 0.0000 0.0000 0.5000 1
Mo1 Mo 0.5000 0.5000 0.5000 1
# **Density of states at the Fermi level**: 4.33 states/eV/f.u.
# **ΔH_f (0 K)**: 367 kJ/mol of formula units


# GGA-PBE CoSn2Cl6, relaxed
data_CoSn2Cl6
_chemical_formula_sum 'Co2 Sn4 Cl12'
_cell_length_a 6.7783
_cell_length_b 7.5329
_cell_length_c 11.4231
_cell_angle_alpha 90.00
_cell_angle_beta 124.33
_cell_angle_gamma 90.00
_space_group_name_H-M_alt 'P 1 21/c 1'
_space_group_IT_number 14
_space_group_name_Hall '-P 2ybc'
loop_
_atom_site_label
_atom_site_type_symbol
_atom_site_fract_x
_atom_site_fract_y
_atom_site_fract_z
_atom_site_occupancy
Co1 Co 0.0000 0.0000 0.0000 1
Sn1 Sn 0.2204 0.1295 0.7014 1
Cl1 Cl 0.1255 0.0173 0.2294 1
Cl2 Cl 0.2068 0.6762 0.0383 1
Cl3 Cl 0.3298 0.1511 0.0538 1
# **Density of states at the Fermi level**: 0.58 states/eV/f.u.
# **Raw formation energy**: -0.80 eV/atom


# GGA-PBE ZnRe2Ir, relaxed
data_ZnRe2Ir
_chemical_formula_sum 'Zn2 Re4 Ir2'
_cell_length_a 9.1364
_cell_length_b 2.7042
_cell_length_c 4.8379
_cell_angle_alpha 90.00
_cell_angle_beta 98.98
_cell_angle_gamma 90.00
_space_group_name_H-M_alt 'C 1 m 1'
_space_group_IT_number 8
_space_group_name_Hall 'C -2y'
loop_
_atom_site_label
_atom_site_type_symbol
_atom_site_fract_x
_atom_site_fract_y
_atom_site_fract_z
_atom_site_occupancy
Zn1 Zn 0.0000 0.0000 0.0000 1
Re1 Re 0.0158 0.5000 0.4971 1
Re2 Re 0.2596 0.5000 0.2850 1
Ir1 Ir 0.2462 0.0000 0.7884 1
# **Density of states at the Fermi level**: 3.84 states/eV/f.u.
# **ΔH_f (0 K)**: 35 kJ/mol of formula units


# GGA-PBE Tb5Pm6Sm, relaxed
data_Tb5Pm6Sm
_chemical_formula_sum 'Tb10 Pm12 Sm2'
_cell_length_a 6.2618
_cell_length_b 10.8451
_cell_length_c 11.9338
_cell_angle_alpha 90.00
_cell_angle_beta 100.07
_cell_angle_gamma 90.00
_space_group_name_H-M_alt 'C 1 2/m 1'
_space_group_IT_number 12
_space_group_name_Hall '-C 2y'
loop_
_atom_site_label
_atom_site_type_symbol
_atom_site_fract_x
_atom_site_fract_y
_atom_site_fract_z
_atom_site_occupancy
Tb1 Tb 0.0000 0.0000 0.0000 1
Tb2 Tb 0.0000 0.1666 0.5000 1
Tb3 Tb 0.0000 0.3332 0.0000 1
Pm1 Pm 0.2493 0.0000 0.7506 1
Pm2 Pm 0.2502 0.1668 0.2493 1
Sm1 Sm 0.0000 0.5000 0.5000 1
# **Density of states at the Fermi level**: 15.07 states/eV/f.u.
# **ΔH_f (0 K)**: 14 kJ/mol of formula units


Q: Among the records above, which one has the highest density of states at the Fermi level?
A: Tb5Pm6Sm


Q: Among the records above, which one has the lowest density of states at the Fermi level?
A: CoSn2Cl6


Q: Among the records above, which one has the highest density of states at the Fermi level?
A: Tb5Pm6Sm


Q: Which of these has the highest density of states at the Fermi level?
A: Tb5Pm6Sm